# 1
The following is a GGA-PBEsol calculation of a relaxed TaNiRh crystal, from Alexandria via LeMat-Bulk.

Values from the calculation:
ΔE_f = -411 meV/atom
Crystal system = tetragonal

a b c (Å): 4.6994 4.6994 4.6994
angles (deg): 140.49 140.49 57.11
Element x y z (fractional)
Ta1 0.0000 0.0000 0.0000
Ni1 0.6540 0.6540 0.0000
Rh1 0.3295 0.3295 0.0000

***

# 2
The following is a GGA-PBEsol calculation of a relaxed CdTe2Cl2 crystal, from Alexandria via LeMat-Bulk.

Values from the calculation:
Formation energy (no corrections) = 0.59 eV per formula unit
Crystal system = tetragonal

a b c (Å): 6.1432 6.1432 6.1432
angles (deg): 123.70 123.70 83.69
Element x y z (fractional)
Cd1 0.0000 0.0000 0.0000
Te1 0.3623 0.3623 0.0000
Te2 0.6377 0.6377 0.0000
Cl1 0.2500 0.7500 0.5000
Cl2 0.7500 0.2500 0.5000

***

# 3
The following is a GGA-PBEsol calculation of a relaxed ReTc crystal, from Alexandria via LeMat-Bulk.

Values from the calculation:
ΔE_f = -4 meV/atom
Crystal system = orthorhombic

a b c (Å): 4.7370 4.4061 5.4770
angles (deg): 90.00 90.00 90.00
Element x y z (fractional)
Re1 0.0832 0.2500 0.1252
Re2 0.4168 0.7500 0.6252
Re3 0.5832 0.2500 0.3748
Re4 0.9168 0.7500 0.8748
Tc1 0.0834 0.2500 0.6250
Tc2 0.4166 0.7500 0.1250
Tc3 0.5834 0.2500 0.8750
Tc4 0.9166 0.7500 0.3750

***

# 4
The following is a GGA-PBEsol calculation of a relaxed Mg3Sc crystal, from Alexandria via LeMat-Bulk.

Values from the calculation:
ΔE_f = 19 meV/atom
Crystal system = orthorhombic

a b c (Å): 6.1387 6.1387 6.1387
angles (deg): 150.63 63.12 125.50
Element x y z (fractional)
Mg1 0.0000 0.0000 0.0000
Mg2 0.0656 0.3168 0.7488
Mg3 0.5681 0.3168 0.2512
Sc1 0.4945 0.9945 0.5000

***

Listing raw total energy for the structures above in their given order: -9.360 -2.336 -12.303 -2.920 eV/atom.